Y2Pa3Se8 | PBE | optimized geometry

The energy relative to the elements, uncorrected is -1497 meV/atom. For the energy above the most stable polymorph in this dataset, the calculation gives 0 meV/atom.

It has space group P2/m (No. 10), with a = 7.202 Å, b = 4.094 Å, c = 13.668 Å, α = 90.00°, β = 101.09° and γ = 90.00°. Symmetry generates all atoms from Y at (0.244, 0.000, 0.249), Pa at (0.255, 0.500, 0.751), Pa at (0.500, 0.000, 0.000), Se at (0.112, 0.500, 0.360), Se at (0.131, 0.000, 0.876), Se at (0.361, 0.500, 0.120) and Se at (0.381, 0.000, 0.637).


HoPuBi2O8 | PBE | optimized geometry

The energy relative to the elements, uncorrected is -2121 meV/atom.

It has space group C2/m (No. 12), with a = 7.489 Å, b = 7.442 Å, c = 6.987 Å, α = 90.00°, β = 90.82° and γ = 90.00°. Symmetry generates all atoms from Ho at (0.000, 0.000, 0.000), Pu at (0.000, 0.000, 0.500), Bi at (0.014, 0.500, 0.240), O at (0.000, 0.258, 0.500), O at (0.000, 0.306, 0.000), O at (0.170, 0.000, 0.279) and O at (0.187, 0.000, 0.744).


K3Cu2AgF8 | PBE | optimized geometry

The energy relative to the elements, uncorrected is -1932 meV/atom.

It has space group P-3m1 (No. 164), with a = 6.0034 Å, b = 6.0034 Å, c = 7.7993 Å, α = 90.00°, β = 90.00° and γ = 120.00°. Symmetry generates all atoms from K at (0.0000, 0.0000, 0.0000), K at (0.3333, 0.6667, 0.6218), Cu at (0.3333, 0.6667, 0.1809), Ag at (0.0000, 0.0000, 0.5000), F at (0.1736, 0.3472, 0.3166) and F at (0.3333, 0.6667, 0.9420).


Pm3Si2SbPd9 | PBE | optimized geometry

The energy relative to the elements, uncorrected is -632 meV/atom.

It has space group P-3m1 (No. 164), with a = 6.4135 Å, b = 6.4135 Å, c = 9.1030 Å, α = 90.00°, β = 90.00° and γ = 120.00°. Symmetry generates all atoms from Pm at (0.0000, 0.0000, 0.0000), Pm at (0.3333, 0.6667, 0.7134), Si at (0.3333, 0.6667, 0.1674), Sb at (0.0000, 0.0000, 0.5000), Pd at (0.0000, 0.5000, 0.0000) and Pd at (0.1476, 0.2951, 0.2734).


Pa2MoS4 | PBE | optimized geometry

The energy relative to the elements, uncorrected is -1137 meV/atom.

It has space group C2/m (No. 12), with a = 12.710 Å, b = 4.023 Å, c = 7.004 Å, α = 90.00°, β = 122.08° and γ = 90.00°. Symmetry generates all atoms from Pa at (0.233, 0.000, 0.235), Mo at (0.000, 0.500, 0.500), S at (0.111, 0.500, 0.926) and S at (0.114, 0.000, 0.472).


Fe2BrN | PBE | optimized geometry

The energy relative to the elements, uncorrected is 256 meV/atom. For the energy above the most stable polymorph in this dataset, the calculation gives 0 meV/atom.

It has space group I-42d (No. 122), with a = 4.707 Å, b = 4.707 Å, c = 9.999 Å, α = 90.00°, β = 90.00° and γ = 90.00°. Symmetry generates all atoms from Fe at (0.136, 0.250, 0.125), Br at (0.000, 0.000, 0.500) and N at (0.000, 0.000, 0.000).